No. 1
The following is a PBE-GGA calculation of an optimized crystal structure of TlRhPb2, from Alexandria via LeMat-Bulk.

The structure in POSCAR format:
```
TlRhPb2
1.0
3.373 0.000 0.000
0.000 3.448 0.043
0.000 3.371 8.751
Pb Rh Tl
2 1 1
Direct
0.000 0.558 0.442
0.000 0.942 0.058
0.500 0.250 0.250
0.500 0.750 0.750
```

## Properties
As for the total energy: -4.30 eV/atom. The calculated volume comes out at 101.3 Å³/f.u. The calculated density is 11.83 Mg/m³. As for the space-group type: P2/m (10). The formation enthalpy at 0 K comes out at -0.01 eV per atom.

***

No. 2
The following is a PBE-GGA calculation of an optimized crystal structure of TlRhPb2, from Alexandria via LeMat-Bulk.

The structure in POSCAR format:
```
TlRhPb2
1.0
-2.313 2.313 4.584
2.313 -2.313 4.584
2.313 2.313 -4.584
Tl Pb Rh
1 2 1
Direct
0.750 0.250 0.500
0.000 0.000 0.000
0.250 0.750 0.500
0.500 0.500 0.000
```

## Properties
As for the total energy: -3.99 eV/atom. The calculated volume comes out at 98.1 Å³/f.u. The calculated density is 12.21 Mg/m³. As for the space-group type: I-4m2 (119). The formation enthalpy at 0 K comes out at 0.30 eV per atom.

***

No. 3
The following is a PBE-GGA calculation of an optimized crystal structure of TlRh2Pb, from Alexandria via LeMat-Bulk.

The structure in POSCAR format:
```
TlRh2Pb
1.0
-1.295 -1.995 3.753
1.874 -2.831 2.866
2.097 3.555 4.141
Rh Tl Pb
2 1 1
Direct
0.751 0.751 0.244
0.249 0.249 0.756
0.000 0.000 0.500
0.500 0.500 0.000
```

## Properties
The energy above the most stable polymorph in this dataset is 52 meV per atom. As for the total energy: -5.06 eV/atom. The calculated volume comes out at 79.2 Å³/f.u. The calculated density is 12.95 Mg/m³. As for the space-group type: C2/m (12). The formation enthalpy at 0 K comes out at 0.13 eV per atom.

***

No. 4
The following is a PBE-GGA calculation of an optimized crystal structure of TlRh2Pb2, from Alexandria via LeMat-Bulk.

The structure in POSCAR format:
```
TlRh2Pb2
1.0
7.829 0.000 0.000
0.000 7.829 0.000
0.000 0.000 3.481
Rh Pb Tl
4 4 2
Direct
0.142 0.358 0.000
0.642 0.142 0.000
0.358 0.858 0.000
0.858 0.642 0.000
0.848 0.348 0.500
0.652 0.848 0.500
0.152 0.652 0.500
0.348 0.152 0.500
0.000 0.000 0.000
0.500 0.500 0.000
```

## Properties
The energy above the most stable polymorph in this dataset is 69 meV per atom. As for the total energy: -4.85 eV/atom. The calculated volume comes out at 106.7 Å³/f.u. The calculated density is 12.83 Mg/m³. As for the space-group type: P4/mbm (127). The formation enthalpy at 0 K comes out at 0.04 eV per atom.

***

No. 5
The following is a PBE-GGA calculation of an optimized crystal structure of TlRh2Pb, from Alexandria via LeMat-Bulk.

The structure in POSCAR format:
```
TlRh2Pb
1.0
4.370 0.000 0.000
0.000 4.370 0.000
2.185 2.185 9.097
Tl Rh Pb
2 4 2
Direct
0.500 0.500 0.000
0.250 0.750 0.500
0.609 0.125 0.250
0.375 0.391 0.750
0.141 0.625 0.250
0.875 0.859 0.750
0.750 0.250 0.500
0.000 0.000 0.000
```

## Properties
The energy above the most stable polymorph in this dataset is 363 meV per atom. As for the total energy: -4.75 eV/atom. The calculated volume comes out at 86.8 Å³/f.u. The calculated density is 11.81 Mg/m³. As for the space-group type: I-42d (122). The formation enthalpy at 0 K comes out at 0.45 eV per atom.

***

No. 6
The following is a PBE-GGA calculation of an optimized crystal structure of TlRh2Pb, from Alexandria via LeMat-Bulk.

The structure in POSCAR format:
```
TlRh2Pb
1.0
-2.077 1.451 -2.001
-2.751 0.736 3.389
2.489 4.885 0.959
Rh Tl Pb
2 1 1
Direct
0.000 0.000 0.931
0.500 0.500 0.323
0.000 0.000 0.418
0.500 0.500 0.828
```

## Properties
The energy above the most stable polymorph in this dataset is 71 meV per atom. As for the total energy: -5.04 eV/atom. The calculated volume comes out at 79.5 Å³/f.u. The calculated density is 12.89 Mg/m³. As for the space-group type: Pmm2 (25). The formation enthalpy at 0 K comes out at 0.15 eV per atom.

***

No. 7
The following is a PBE-GGA calculation of an optimized crystal structure of TlRh2Pb, from Alexandria via LeMat-Bulk.

The structure in POSCAR format:
```
TlRh2Pb
1.0
-2.333 -1.860 1.210
-1.796 -0.633 -4.436
2.798 -3.886 -0.578
Pb Rh Tl
1 2 1
Direct
0.500 0.500 0.125
0.000 0.500 0.625
0.000 0.000 0.125
0.500 0.000 0.625
```

## Properties
The energy above the most stable polymorph in this dataset is 15 meV per atom. As for the total energy: -5.10 eV/atom. The calculated volume comes out at 75.0 Å³/f.u. The calculated density is 13.67 Mg/m³. As for the space-group type: P4/mmm (123). The formation enthalpy at 0 K comes out at 0.10 eV per atom.

***

No. 8
The following is a PBE-GGA calculation of an optimized crystal structure of TlRhPb2, from Alexandria via LeMat-Bulk.

The structure in POSCAR format:
```
TlRhPb2
1.0
-1.601 -2.359 -1.735
-1.262 -3.383 5.764
-4.575 1.431 2.276
Pb Rh Tl
2 1 1
Direct
0.000 0.017 0.991
0.500 0.636 0.682
0.000 0.988 0.506
0.500 0.359 0.321
```

## Properties
As for the total energy: -4.22 eV/atom. The calculated volume comes out at 110.9 Å³/f.u. The calculated density is 10.80 Mg/m³. As for the space-group type: Amm2 (38). The formation enthalpy at 0 K comes out at 0.07 eV per atom.

***

No. 9
The following is a PBE-GGA calculation of an optimized crystal structure of TlRh4Pb, from Alexandria via LeMat-Bulk.

The structure in POSCAR format:
```
TlRh4Pb
1.0
0.000 3.784 3.784
3.784 0.000 3.784
3.784 3.784 0.000
Rh Tl Pb
4 1 1
Direct
0.875 0.375 0.375
0.375 0.375 0.875
0.375 0.875 0.375
0.375 0.375 0.375
0.750 0.750 0.750
0.000 0.000 0.000
```

## Properties
As for the total energy: -5.70 eV/atom. The calculated volume comes out at 108.4 Å³/f.u. The calculated density is 12.61 Mg/m³. As for the space-group type: F-43m (216). The formation enthalpy at 0 K comes out at 0.21 eV per atom.

***

No. 10
The following is a PBE-GGA calculation of an optimized crystal structure of TlRh2Pb, from Alexandria via LeMat-Bulk.

The structure in POSCAR format:
```
TlRh2Pb
1.0
-0.756 2.148 4.236
-3.721 -1.331 2.741
0.767 -2.412 4.090
Rh Pb Tl
2 1 1
Direct
0.250 0.250 0.250
0.000 0.000 0.000
0.500 0.500 0.500
0.750 0.750 0.750
```

## Properties
The energy above the most stable polymorph in this dataset is 288 meV per atom. As for the total energy: -4.82 eV/atom. The calculated volume comes out at 78.7 Å³/f.u. The calculated density is 13.03 Mg/m³. As for the space-group type: F-43m (216). The formation enthalpy at 0 K comes out at 0.37 eV per atom.

***

No. 11
The following is a PBE-GGA calculation of an optimized crystal structure of TlRhPb3, from Alexandria via LeMat-Bulk.

The structure in POSCAR format:
```
TlRhPb3
1.0
-1.868 3.984 -3.038
-4.774 -2.400 -0.212
-1.521 2.638 4.395
Rh Pb Tl
1 3 1
Direct
0.000 0.000 0.000
0.000 0.500 0.000
0.000 0.000 0.500
0.500 0.000 0.000
0.500 0.500 0.500
```

## Properties
The energy above the most stable polymorph in this dataset is 109 meV per atom. As for the total energy: -4.09 eV/atom. The calculated volume comes out at 152.9 Å³/f.u. The calculated density is 10.09 Mg/m³. As for the space-group type: Pm-3m (221). The formation enthalpy at 0 K comes out at 0.08 eV per atom.

***

No. 12
The following is a PBE-GGA calculation of an optimized crystal structure of TlRh2Pb, from Alexandria via LeMat-Bulk.

The structure in POSCAR format:
```
TlRh2Pb
1.0
-1.190 -0.797 -5.267
0.632 -3.331 -4.278
-3.792 -2.559 0.430
Rh Tl Pb
2 1 1
Direct
0.232 0.232 0.348
0.018 0.018 0.903
0.498 0.498 0.406
0.751 0.751 0.844
```

## Properties
The energy above the most stable polymorph in this dataset is 0 meV per atom. As for the total energy: -5.11 eV/atom. The calculated volume comes out at 77.1 Å³/f.u. The calculated density is 13.30 Mg/m³. As for the space-group type: Cm (8). The formation enthalpy at 0 K comes out at 0.08 eV per atom.

***

No. 13
The following is a PBE-GGA calculation of an optimized crystal structure of TlRhPb2, from Alexandria via LeMat-Bulk.

The structure in POSCAR format:
```
TlRhPb2
1.0
4.826 0.000 0.000
0.000 4.826 0.000
0.000 0.000 4.224
Tl Pb Rh
1 2 1
Direct
0.000 0.000 0.500
0.500 0.000 0.000
0.000 0.500 0.000
0.500 0.500 0.500
```

## Properties
As for the total energy: -3.99 eV/atom. The calculated volume comes out at 98.4 Å³/f.u. The calculated density is 12.18 Mg/m³. As for the space-group type: P4/mmm (123). The formation enthalpy at 0 K comes out at 0.29 eV per atom.

***

No. 14
The following is a PBE-GGA calculation of an optimized crystal structure of TlRh2Pb, from Alexandria via LeMat-Bulk.

The structure in POSCAR format:
```
TlRh2Pb
1.0
3.229 0.000 0.000
0.000 3.613 0.000
0.000 0.000 6.426
Rh Pb Tl
2 1 1
Direct
0.000 0.000 0.250
0.000 0.000 0.750
0.500 0.500 0.500
0.500 0.500 0.000
```

## Properties
The energy above the most stable polymorph in this dataset is 2 meV per atom. As for the total energy: -5.11 eV/atom. The calculated volume comes out at 75.0 Å³/f.u. The calculated density is 13.68 Mg/m³. As for the space-group type: Pmmm (47). The formation enthalpy at 0 K comes out at 0.08 eV per atom.